[1]
Compound: NdDy2HoMg
Source: Alexandria
Functional: GGA-PBE
Structure: optimized geometry

Calculated formation energy, meV/atom: 16.5
ρ, g/cm3: 7.12
SG: P2_1/m

a = 5.602 Å, b = 6.158 Å, c = 9.422 Å
α = 70.80°, β = 90.00°, γ = 90.00°
Positions (direct):
Nd: 0.750 0.352 0.612
Ho: 0.250 0.836 0.001
Dy: 0.750 0.982 0.395
Ho: 0.750 0.164 0.999
Mg: 0.750 0.575 0.192
Dy: 0.250 0.248 0.201
Dy: 0.250 0.018 0.605
Mg: 0.250 0.425 0.808
Dy: 0.750 0.752 0.799
Nd: 0.250 0.648 0.388


[2]
Compound: InGaAg3
Source: Alexandria
Functional: GGA-PBE
Structure: optimized geometry

Calculated formation energy, meV/atom: 332.2
ρ, g/cm3: 6.91
Energy relative to the lowest polymorph listed for this composition, eV per atom: 0.315
SG: Pm-3m

a = 4.961 Å, b = 4.961 Å, c = 4.961 Å
α = 90.00°, β = 90.00°, γ = 90.00°
Positions (direct):
Ga: 0.000 0.000 0.000
Ag: 0.000 0.000 0.500
In: 0.500 0.500 0.500
Ag: 0.500 0.000 0.000
Ag: 0.000 0.500 0.000


[3]
Compound: TbGa2Re
Source: Alexandria
Functional: GGA-PBE
Structure: optimized geometry

Calculated formation energy, meV/atom: 111.7
ρ, g/cm3: 10.74
SG: R-3m

a = 3.071 Å, b = 3.071 Å, c = 9.343 Å
α = 80.54°, β = 80.54°, γ = 60.00°
Positions (direct):
Tb: 0.500 0.500 0.500
Ga: 0.261 0.261 0.217
Re: 0.000 0.000 0.000
Ga: 0.739 0.739 0.783


[4]
Compound: AcB2Pt4
Source: Alexandria
Functional: GGA-PBE
Structure: optimized geometry

Calculated formation energy, meV/atom: -334.7
ρ, g/cm3: 13.83
SG: C2/m

a = 6.086 Å, b = 3.795 Å, c = 6.086 Å
α = 108.10°, β = 107.78°, γ = 71.90°
Positions (direct):
Pt: 0.455 0.345 0.147
Pt: 0.147 0.655 0.455
Ac: 0.000 0.000 0.000
Pt: 0.853 0.345 0.545
B: 0.501 0.230 0.499
B: 0.499 0.770 0.501
Pt: 0.545 0.655 0.853


[5]
Compound: TcOsRu4
Source: Alexandria
Functional: GGA-PBE
Structure: optimized geometry

Calculated formation energy, meV/atom: 3.4
ρ, g/cm3: 13.63
Energy relative to the lowest polymorph listed for this composition, eV per atom: 0.000
SG: C2/m

a = 2.729 Å, b = 6.720 Å, c = 4.733 Å
α = 96.72°, β = 90.02°, γ = 101.70°
Positions (direct):
Ru: 0.169 0.338 0.388
Os: 0.000 0.000 0.000
Ru: 0.831 0.662 0.611
Ru: 0.668 0.336 0.889
Tc: 0.500 0.000 0.500
Ru: 0.332 0.664 0.111


[6]
Compound: HfFeB2
Source: Alexandria
Functional: GGA-PBE
Structure: optimized geometry

Calculated formation energy, meV/atom: -692.9
ρ, g/cm3: 10.30
Energy relative to the lowest polymorph listed for this composition, eV per atom: 0.000
SG: Pnma

a = 3.405 Å, b = 5.494 Å, c = 8.824 Å
α = 90.00°, β = 90.00°, γ = 90.00°
Positions (direct):
B: 0.750 0.972 0.665
B: 0.250 0.207 0.158
Hf: 0.750 0.878 0.138
B: 0.750 0.472 0.835
Fe: 0.250 0.129 0.563
B: 0.250 0.528 0.165
Fe: 0.750 0.371 0.063
Fe: 0.250 0.629 0.937
Fe: 0.750 0.871 0.437
Hf: 0.250 0.622 0.638
B: 0.250 0.028 0.335
B: 0.250 0.707 0.342
B: 0.750 0.293 0.658
Hf: 0.750 0.378 0.362
Hf: 0.250 0.122 0.862
B: 0.750 0.793 0.842


The highest ρ belongs to which entry? AcB2Pt4


Which of these has the highest calculated formation energy? InGaAg3


Which of these has the lowest ρ? InGaAg3


Number 1 is which compound? NdDy2HoMg